Record 1
The following is a PBE calculation of Cs3ZrPb2O6 after structural relaxation, from Alexandria via LeMat-Bulk.

Output
ρ = 6.00 g/cm3
Formation energy from raw total energies = -1937 kJ/mol of formula units
Calculated volume = 23.08 Å³ per atom

Cell lengths 6.3881, 6.3881, 7.8368 Å; angles 90.00, 90.00, 120.00 degrees
With the nearest neighbours (Å) after each atom.
Sites, in units of the cell vectors:
Cs1 0.0000 0.0000 0.0000  6 O 3.22
Cs2 0.3333 0.6667 0.6688  9 O 3.20, 1 Pb 3.55
Cs3 0.6667 0.3333 0.3312  9 O 3.20, 1 Pb 3.55
Zr1 0.0000 0.0000 0.5000  6 O 2.14
Pb1 0.3333 0.6667 0.2157  3 O 2.18
Pb2 0.6667 0.3333 0.7843  3 O 2.18
O1 0.1588 0.3176 0.3436  1 Zr 2.14, 1 Pb 2.18
O2 0.1588 0.8412 0.3436  1 Zr 2.14, 1 Pb 2.18
O3 0.3176 0.1588 0.6564  1 Zr 2.14, 1 Pb 2.18
O4 0.6824 0.8412 0.3436  1 Zr 2.14, 1 Pb 2.18
O5 0.8412 0.1588 0.6564  1 Zr 2.14, 1 Pb 2.18
O6 0.8412 0.6824 0.6564  1 Zr 2.14, 1 Pb 2.18



Record 2
The following is a PBE calculation of Cs3Pd2O4 after structural relaxation, from Alexandria via LeMat-Bulk.

Output
ρ = 5.24 g/cm3
Formation energy from raw total energies = -705 kJ/mol of formula units
Calculated volume = 23.81 Å³ per atom

Cell lengths 8.4938, 8.4938, 6.0670 Å; angles 97.18, 97.18, 83.26 degrees
With the nearest neighbours (Å) after each atom.
Sites, in units of the cell vectors:
Cs1 0.0957 0.9043 0.7500  4 O 2.93-3.17
Cs2 0.2421 0.5003 0.4918  3 O 2.69-2.88
Cs3 0.5003 0.2421 0.9918  3 O 2.69-2.88
Cs4 0.4997 0.7579 0.0082  3 O 2.69-2.88
Cs5 0.7579 0.4997 0.5082  3 O 2.69-2.88
Cs6 0.9043 0.0957 0.2500  4 O 2.93-3.17
Pd1 0.1039 0.3348 0.9487  4 O 2.02-2.08
Pd2 0.3348 0.1039 0.4487  4 O 2.02-2.08
Pd3 0.6652 0.8961 0.5513  4 O 2.02-2.08
Pd4 0.8961 0.6652 0.0513  4 O 2.02-2.08
O1 0.0152 0.5379 0.8079  2 Pd 2.02-2.04
O2 0.1601 0.2152 0.6425  2 Pd 2.08
O3 0.2152 0.1601 0.1425  2 Pd 2.08
O4 0.4621 0.9848 0.6921  2 Pd 2.02-2.04
O5 0.5379 0.0152 0.3079  2 Pd 2.02-2.04
O6 0.7848 0.8399 0.8575  2 Pd 2.08
O7 0.8399 0.7848 0.3575  2 Pd 2.08
O8 0.9848 0.4621 0.1921  2 Pd 2.02-2.04



Record 3
The following is a PBE calculation of CsPdO after structural relaxation, from Alexandria via LeMat-Bulk.

Output
ρ = 5.48 g/cm3
Formation energy from raw total energies = -155 kJ/mol of formula units
Calculated volume = 25.79 Å³ per atom

Cell lengths 7.4317, 7.4317, 3.7277 Å; angles 90.00, 90.00, 131.28 degrees
With the nearest neighbours (Å) after each atom.
Sites, in units of the cell vectors:
Cs1 0.1605 0.8395 0.7500  1 O 2.81
Cs2 0.8395 0.1605 0.2500  1 O 2.81
Pd1 0.4293 0.5707 0.2500  2 O 2.04
Pd2 0.5707 0.4293 0.7500  2 O 2.04
O1 0.3679 0.6321 0.7500  2 Pd 2.04
O2 0.6321 0.3679 0.2500  2 Pd 2.04



Record 4
The following is a PBE calculation of Cs2PdO after structural relaxation, from Alexandria via LeMat-Bulk.

Output
Excess energy over the best structure of this formula in the dataset = 1.184 eV/f.u.
ρ = 5.08 g/cm3
Formation energy from raw total energies = -52 kJ/mol of formula units
Calculated volume = 31.72 Å³ per atom

Cell lengths 9.6041, 9.6041, 9.6041 Å; angles 23.81, 23.81, 23.81 degrees
With the nearest neighbours (Å) after each atom.
Sites, in units of the cell vectors:
Cs1 0.1064 0.1064 0.1064  3 O 2.84, 1 Pd 2.98
Cs2 0.8936 0.8936 0.8936  3 O 2.84, 1 Pd 2.98
Pd1 0.0000 0.0000 0.0000  2 Cs 2.98
O1 0.5000 0.5000 0.5000  6 Cs 2.84



Record 5
The following is a PBE calculation of CsPd2O after structural relaxation, from Alexandria via LeMat-Bulk.

Output
ρ = 6.28 g/cm3
Formation energy from raw total energies = -137 kJ/mol of formula units
Calculated volume = 23.93 Å³ per atom

Cell lengths 7.1790, 7.1790, 7.1790 Å; angles 133.49, 133.49, 67.89 degrees
With the nearest neighbours (Å) after each atom.
Sites, in units of the cell vectors:
Cs1 0.3750 0.6250 0.7500  8 Pd 3.50
Cs2 0.6250 0.3750 0.2500  8 Pd 3.50
Pd1 0.0000 0.0000 0.0000  2 O 2.06
Pd2 0.0000 0.0000 0.5000  2 O 2.06
Pd3 0.0000 0.5000 0.0000  2 O 2.06
Pd4 0.5000 0.0000 0.5000  2 O 2.06
O1 0.1250 0.8750 0.2500  4 Pd 2.06
O2 0.8750 0.1250 0.7500  4 Pd 2.06



Record 6
The following is a PBE calculation of CsPdO after structural relaxation, from Alexandria via LeMat-Bulk.

Output
ρ = 6.62 g/cm3
Formation energy from raw total energies = -108 kJ/mol of formula units
Calculated volume = 21.36 Å³ per atom

Cell lengths 3.8037, 3.8037, 5.1136 Å; angles 90.00, 90.00, 120.00 degrees
With the nearest neighbours (Å) after each atom.
Sites, in units of the cell vectors:
Cs1 0.0000 0.0000 0.0000  6 O 3.36-3.38, 6 Pd 3.37
Pd1 0.6667 0.3333 0.5006  3 O 2.20
O1 0.3333 0.6667 0.5018  3 Pd 2.20



Record 7
The following is a PBE calculation of CsPd3O after structural relaxation, from Alexandria via LeMat-Bulk.

Output
Excess energy over the best structure of this formula in the dataset = 7.576 eV/f.u.
ρ = 5.21 g/cm3
Formation energy from raw total energies = 848 kJ/mol of formula units
Calculated volume = 29.83 Å³ per atom

Cell lengths 5.3034, 5.3034, 5.3034 Å; angles 90.00, 90.00, 90.00 degrees
With the nearest neighbours (Å) after each atom.
Sites, in units of the cell vectors:
Cs1 0.0000 0.0000 0.0000  6 Pd 2.65
Pd1 0.0000 0.0000 0.5000  2 Cs 2.65
Pd2 0.0000 0.5000 0.0000  2 Cs 2.65
Pd3 0.5000 0.0000 0.0000  2 Cs 2.65
O1 0.5000 0.5000 0.5000  12 Pd 3.75



Record 8
The following is a PBE calculation of Cs2Pd2O after structural relaxation, from Alexandria via LeMat-Bulk.

Output
Excess energy over the best structure of this formula in the dataset = 0.825 eV/f.u.
ρ = 6.81 g/cm3
Formation energy from raw total energies = 84 kJ/mol of formula units
Calculated volume = 24.12 Å³ per atom

Cell lengths 6.6955, 6.6955, 5.3797 Å; angles 90.00, 90.00, 90.00 degrees
With the nearest neighbours (Å) after each atom.
Sites, in units of the cell vectors:
Cs1 0.1830 0.3170 0.0000  2 Pd 3.03
Cs2 0.3170 0.8170 0.0000  2 Pd 3.03
Cs3 0.6830 0.1830 0.0000  2 Pd 3.03
Cs4 0.8170 0.6830 0.0000  2 Pd 3.03
Pd1 0.1707 0.6707 0.5000  2 O 2.48
Pd2 0.3293 0.1707 0.5000  2 O 2.48
Pd3 0.6707 0.8293 0.5000  2 O 2.48
Pd4 0.8293 0.3293 0.5000  2 O 2.48
O1 0.0000 0.0000 0.5000  4 Pd 2.48
O2 0.5000 0.5000 0.5000  4 Pd 2.48



Record 9
The following is a PBE calculation of Cs5PdO after structural relaxation, from Alexandria via LeMat-Bulk.

Output
ρ = 3.38 g/cm3
Formation energy from raw total energies = -237 kJ/mol of formula units
Calculated volume = 55.24 Å³ per atom

Cell lengths 8.7549, 8.7549, 11.9547 Å; angles 110.38, 110.38, 68.56 degrees
With the nearest neighbours (Å) after each atom.
Sites, in units of the cell vectors:
Cs1 0.0729 0.9271 0.7500  2 O 3.07
Cs2 0.2059 0.2427 0.6157  1 O 2.95
Cs3 0.2427 0.2059 0.1157  1 O 2.95
Cs4 0.2784 0.6974 0.0280  1 O 2.90
Cs5 0.3026 0.7216 0.4720  1 O 2.90
Cs6 0.6974 0.2784 0.5280  1 O 2.90
Cs7 0.7216 0.3026 0.9720  1 O 2.90
Cs8 0.7573 0.7941 0.8843  1 O 2.95
Cs9 0.7941 0.7573 0.3843  1 O 2.95
Cs10 0.9271 0.0729 0.2500  2 O 3.07
Pd1 0.4262 0.5738 0.7500  7 Cs 3.48-3.81
Pd2 0.5738 0.4262 0.2500  7 Cs 3.48-3.81
O1 0.0000 0.0000 0.0000  6 Cs 2.90-3.07
O2 0.0000 0.0000 0.5000  6 Cs 2.90-3.07



Record 10
The following is a PBE calculation of CsPd3O after structural relaxation, from Alexandria via LeMat-Bulk.

Output
Excess energy over the best structure of this formula in the dataset = 0.000 eV/f.u.
ρ = 8.22 g/cm3
Formation energy from raw total energies = 117 kJ/mol of formula units
Calculated volume = 18.91 Å³ per atom

Cell lengths 4.5557, 4.5557, 4.5557 Å; angles 90.00, 90.00, 90.00 degrees
With the nearest neighbours (Å) after each atom.
Sites, in units of the cell vectors:
Cs1 0.0000 0.0000 0.0000  12 Pd 3.22
Pd1 0.0000 0.5000 0.5000  2 O 2.28
Pd2 0.5000 0.0000 0.5000  2 O 2.28
Pd3 0.5000 0.5000 0.0000  2 O 2.28
O1 0.5000 0.5000 0.5000  6 Pd 2.28



Record 11
The following is a PBE calculation of CsPdO after structural relaxation, from Alexandria via LeMat-Bulk.

Output
ρ = 5.23 g/cm3
Formation energy from raw total energies = -196 kJ/mol of formula units
Calculated volume = 27.01 Å³ per atom

Cell lengths 3.8657, 6.4755, 6.4746 Å; angles 90.00, 90.08, 90.00 degrees
With the nearest neighbours (Å) after each atom.
Sites, in units of the cell vectors:
Cs1 0.0007 0.2500 0.2493  4 O 3.24
Cs2 0.9993 0.7500 0.7507  4 O 3.24
Pd1 0.4999 0.2500 0.7491  2 O 1.93
Pd2 0.5001 0.7500 0.2509  2 O 1.93
O1 0.9999 0.2500 0.7491  2 Pd 1.93
O2 0.0001 0.7500 0.2509  2 Pd 1.93